Record 1
DFT (PBE) results for a relaxed structure of BaH3Au.

* energy above the lowest structure with this stoichiometry: 953.4 meV per atom
* magnetic moment: 0.00 μB per cell
* total DFT energy (no corrections): -2.435 eV per atom
* symmetry: Pm-3m, No. 221

Unit cell a=4.6659 b=4.6659 c=4.6659 alpha=90.00 beta=90.00 gamma=90.00
Closest atoms and distances in Å follow each position.
Fractional coordinates of all 5 atoms:
1 Ba 0.0000 0.0000 0.0000  6 H 2.33
2 H 0.5000 0.0000 0.0000  2 Ba 2.33
3 H 0.0000 0.0000 0.5000  2 Ba 2.33
4 H 0.0000 0.5000 0.0000  2 Ba 2.33
5 Au 0.5000 0.5000 0.5000  12 H 3.30

---

Record 2
DFT (PBE) results for a relaxed structure of TlCrOsN2.

* magnetic moment: 2.59 μB per cell
* total DFT energy (no corrections): -6.466 eV per atom
* symmetry: P4/mmm, No. 123
* formation energy from raw total energies: 7.5 eV per formula unit

Unit cell a=3.7429 b=6.3874 c=3.7429 alpha=90.00 beta=90.00 gamma=90.00
Closest atoms and distances in Å follow each position.
Fractional coordinates of all 5 atoms:
1 Os 0.5000 0.5000 0.5000  4 Tl 2.65
2 N 0.0000 0.0000 0.5000  2 Cr 1.87
3 N 0.5000 0.0000 0.0000  2 Cr 1.87
4 Tl 0.0000 0.5000 0.0000  4 Os 2.65
5 Cr 0.0000 0.0000 0.0000  4 N 1.87